1.
Entry from Alexandria via LeMat-Bulk: a relaxed structure of BaAsSe2I (PBEsol).

The structure in POSCAR format:
```
BaAsSe2I
1.0
6.107 0.000 0.000
0.000 6.107 0.000
0.000 0.000 6.352
Ba As Se I
1 1 2 1
direct
0.000 0.000 0.000
0.000 0.000 0.500
0.000 0.500 0.000
0.500 0.000 0.000
0.500 0.500 0.500
```

## Properties
energy above the lowest structure with this stoichiometry	0.860	eV per atom
uncorrected formation energy	690	meV per atom
ρ	3.484	g/cm3

2.
Entry from Alexandria via LeMat-Bulk: a relaxed structure of BaAsSe2I (PBEsol).

The structure in POSCAR format:
```
BaAsSe2I
1.0
5.446 0.000 0.000
0.000 5.446 0.000
0.000 0.000 5.302
Ba As Se I
1 1 2 1
direct
0.000 0.000 0.000
0.500 0.500 0.000
0.000 0.500 0.500
0.500 0.000 0.500
0.500 0.500 0.500
```

## Properties
energy above the lowest structure with this stoichiometry	0.000	eV per atom
uncorrected formation energy	-171	meV per atom
ρ	5.248	g/cm3

3.
Entry from Alexandria via LeMat-Bulk: a relaxed structure of Ba2InAs2 (PBEsol).

The structure in POSCAR format:
```
Ba2InAs2
1.0
8.055 0.000 0.000
0.000 8.055 0.000
0.000 0.000 4.714
Ba In As
4 2 4
direct
0.182 0.318 0.000
0.318 0.818 0.000
0.682 0.182 0.000
0.818 0.682 0.000
0.000 0.000 0.500
0.500 0.500 0.500
0.109 0.609 0.500
0.391 0.109 0.500
0.609 0.891 0.500
0.891 0.391 0.500
```

## Properties
ΔE_f	-837	meV per atom
ρ	5.856	g/cm3

4.
Entry from Alexandria via LeMat-Bulk: a relaxed structure of Ba2In5As5 (PBEsol).

The structure in POSCAR format:
```
Ba2In5As5
1.0
17.429 0.000 0.000
0.000 4.296 0.000
0.000 0.000 17.930
Ba In As
8 20 20
direct
0.021 0.250 0.121
0.043 0.250 0.631
0.457 0.750 0.131
0.479 0.750 0.621
0.521 0.250 0.379
0.543 0.250 0.869
0.957 0.750 0.369
0.979 0.750 0.879
0.157 0.250 0.313
0.170 0.750 0.472
0.173 0.250 0.941
0.188 0.750 0.780
0.211 0.750 0.127
0.289 0.250 0.627
0.312 0.250 0.280
0.327 0.750 0.441
0.330 0.250 0.972
0.343 0.750 0.813
0.657 0.250 0.187
0.670 0.750 0.028
0.673 0.250 0.559
0.688 0.750 0.720
0.711 0.750 0.373
0.789 0.250 0.873
0.812 0.250 0.220
0.827 0.750 0.059
0.830 0.250 0.528
0.843 0.750 0.687
0.079 0.250 0.444
0.102 0.250 0.809
0.105 0.750 0.237
0.113 0.750 0.011
0.195 0.750 0.626
0.305 0.250 0.126
0.387 0.250 0.511
0.395 0.250 0.737
0.398 0.750 0.309
0.421 0.750 0.944
0.579 0.250 0.056
0.602 0.250 0.691
0.605 0.750 0.263
0.613 0.750 0.489
0.695 0.750 0.874
0.805 0.250 0.374
0.887 0.250 0.989
0.895 0.250 0.763
0.898 0.750 0.191
0.921 0.750 0.556
```

## Properties
ΔE_f	-539	meV per atom
ρ	6.053	g/cm3

5.
Entry from Alexandria via LeMat-Bulk: a relaxed structure of Ba3InAs3 (PBEsol).

The structure in POSCAR format:
```
Ba3InAs3
1.0
14.007 0.000 0.000
0.000 4.591 0.000
0.000 0.000 14.350
Ba In As
12 4 12
direct
0.082 0.250 0.108
0.134 0.750 0.503
0.221 0.750 0.802
0.279 0.250 0.302
0.366 0.250 0.003
0.418 0.750 0.608
0.582 0.250 0.392
0.634 0.750 0.997
0.721 0.750 0.698
0.779 0.250 0.198
0.866 0.250 0.497
0.918 0.750 0.892
0.053 0.250 0.703
0.447 0.750 0.203
0.553 0.250 0.797
0.947 0.750 0.297
0.044 0.250 0.351
0.084 0.250 0.886
0.233 0.250 0.629
0.267 0.750 0.129
0.416 0.750 0.386
0.456 0.750 0.851
0.544 0.250 0.149
0.584 0.250 0.614
0.733 0.250 0.871
0.767 0.750 0.371
0.916 0.750 0.114
0.956 0.750 0.649
```

## Properties
ΔE_f	-974	meV per atom
ρ	5.410	g/cm3

6.
Entry from Alexandria via LeMat-Bulk: a relaxed structure of Ba2InAs (PBEsol).

The structure in POSCAR format:
```
Ba2InAs
1.0
4.469 0.000 0.000
0.000 2.528 6.144
0.000 -2.528 6.144
Ba In As
2 1 1
direct
0.000 0.000 0.000
0.500 0.281 0.281
0.000 0.706 0.706
0.500 0.564 0.564
```

## Properties
ΔE_f	-735	meV per atom
ρ	5.556	g/cm3

7.
Entry from Alexandria via LeMat-Bulk: a relaxed structure of Ba2AsIr (PBEsol).

The structure in POSCAR format:
```
Ba2AsIr
1.0
4.065 0.000 0.000
0.000 4.065 0.000
0.000 0.000 6.613
Ba As Ir
2 1 1
direct
0.000 0.000 0.246
0.000 0.000 0.754
0.500 0.500 0.500
0.500 0.500 0.000
```

## Properties
ΔE_f	-122	meV per atom
ρ	8.231	g/cm3

8.
Entry from Alexandria via LeMat-Bulk: a relaxed structure of Ba2AsIr (PBEsol).

The structure in POSCAR format:
```
Ba2AsIr
1.0
-5.881 5.881 2.321
5.881 -5.881 2.321
5.881 5.881 -2.321
Ba As Ir
4 2 2
direct
0.375 0.189 0.314
0.811 0.125 0.186
0.875 0.061 0.686
0.939 0.625 0.814
0.250 0.750 0.500
0.500 0.500 0.000
0.000 0.000 0.000
0.750 0.250 0.500
```

## Properties
ΔE_f	-360	meV per atom
ρ	5.603	g/cm3

9.
Entry from Alexandria via LeMat-Bulk: a relaxed structure of K2BaAs (PBEsol).

The structure in POSCAR format:
```
K2BaAs
1.0
4.758 0.000 0.000
0.000 4.758 0.000
0.000 0.000 6.973
K Ba As
2 1 1
direct
0.000 0.000 0.201
0.000 0.000 0.799
0.500 0.500 0.500
0.500 0.500 0.000
```

## Properties
ΔE_f	-55	meV per atom
ρ	3.055	g/cm3

10.
Entry from Alexandria via LeMat-Bulk: a relaxed structure of KBa2As (PBEsol).

The structure in POSCAR format:
```
KBa2As
1.0
4.052 -2.335 0.000
4.052 2.335 0.000
-2.567 0.000 11.779
K Ba As
1 2 1
direct
0.000 0.000 0.000
0.214 0.214 0.648
0.786 0.786 0.352
0.500 0.500 0.500
```

## Properties
ΔE_f	-627	meV per atom
ρ	2.896	g/cm3

11.
Entry from Alexandria via LeMat-Bulk: a relaxed structure of KBa2As (PBEsol).

The structure in POSCAR format:
```
KBa2As
1.0
0.000 4.112 4.112
4.112 0.000 4.112
4.112 4.112 0.000
K Ba As
1 2 1
direct
0.000 0.000 0.000
0.500 0.500 0.500
0.750 0.750 0.750
0.250 0.250 0.250
```

## Properties
ΔE_f	-60	meV per atom
ρ	4.640	g/cm3

12.
Entry from Alexandria via LeMat-Bulk: a relaxed structure of KBaAs3 (PBEsol).

The structure in POSCAR format:
```
KBaAs3
1.0
5.823 0.000 0.000
0.000 5.823 0.000
0.000 0.000 5.823
K Ba As
1 1 3
direct
0.000 0.000 0.000
0.500 0.500 0.500
0.000 0.500 0.500
0.500 0.000 0.500
0.500 0.500 0.000
```

## Properties
ΔE_f	579	meV per atom
ρ	3.373	g/cm3

13.
Entry from Alexandria via LeMat-Bulk: a relaxed structure of K2BaAs (PBEsol).

The structure in POSCAR format:
```
K2BaAs
1.0
0.000 4.149 4.149
4.149 0.000 4.149
4.149 4.149 0.000
K Ba As
2 1 1
direct
0.000 0.000 0.000
0.250 0.250 0.250
0.750 0.750 0.750
0.500 0.500 0.500
```

## Properties
ΔE_f	-232	meV per atom
ρ	3.377	g/cm3

14.
Entry from Alexandria via LeMat-Bulk: a relaxed structure of K5BaNbAs4 (PBEsol).

The structure in POSCAR format:
```
K5BaNbAs4
1.0
5.137 -8.957 0.000
5.137 8.957 0.000
-0.217 0.000 8.057
K Ba Nb As
10 2 2 8
direct
0.030 0.970 0.500
0.202 0.343 0.703
0.343 0.202 0.203
0.354 0.631 0.174
0.439 0.970 0.500
0.631 0.354 0.674
0.641 0.780 0.659
0.780 0.641 0.159
0.970 0.030 0.000
0.970 0.439 0.000
0.031 0.561 0.493
0.561 0.031 0.993
0.163 0.829 0.891
0.829 0.163 0.391
0.096 0.302 0.308
0.162 0.818 0.200
0.298 0.700 0.787
0.302 0.096 0.808
0.696 0.902 0.277
0.700 0.298 0.287
0.818 0.162 0.700
0.902 0.696 0.777
```

## Properties
ΔE_f	-602	meV per atom
ρ	3.249	g/cm3

15.
Entry from Alexandria via LeMat-Bulk: a relaxed structure of KBaAsSe3 (PBEsol).

The structure in POSCAR format:
```
KBaAsSe3
1.0
9.338 0.000 0.000
0.000 8.984 0.000
-2.991 0.000 8.731
K Ba As Se
4 4 4 12
direct
0.093 0.079 0.223
0.093 0.421 0.723
0.907 0.579 0.277
0.907 0.921 0.777
0.414 0.716 0.464
0.414 0.784 0.964
0.586 0.216 0.036
0.586 0.284 0.536
0.250 0.048 0.638
0.250 0.452 0.138
0.750 0.548 0.862
0.750 0.952 0.362
0.137 0.695 0.092
0.137 0.805 0.592
0.228 0.108 0.884
0.228 0.392 0.384
0.478 0.010 0.276
0.478 0.490 0.776
0.522 0.510 0.224
0.522 0.990 0.724
0.772 0.608 0.616
0.772 0.892 0.116
0.863 0.195 0.408
0.863 0.305 0.908
```

## Properties
uncorrected formation energy	-1086	meV per atom
ρ	4.427	g/cm3

16.
Entry from Alexandria via LeMat-Bulk: a relaxed structure of BaLa2As (PBEsol).

The structure in POSCAR format:
```
BaLa2As
1.0
4.935 0.000 0.000
0.000 4.935 0.000
0.000 0.000 4.760
Ba La As
1 2 1
direct
0.000 0.000 0.000
0.000 0.500 0.500
0.500 0.000 0.500
0.500 0.500 0.000
```

## Properties
ΔE_f	-435	meV per atom
ρ	7.019	g/cm3

17.
Entry from Alexandria via LeMat-Bulk: a relaxed structure of BaLa2As (PBEsol).

The structure in POSCAR format:
```
BaLa2As
1.0
-2.371 2.371 5.230
2.371 -2.371 5.230
2.371 2.371 -5.230
Ba La As
1 2 1
direct
0.000 0.000 0.000
0.500 0.500 0.000
0.750 0.250 0.500
0.250 0.750 0.500
```

## Properties
ΔE_f	-345	meV per atom
ρ	6.916	g/cm3

18.
Entry from Alexandria via LeMat-Bulk: a relaxed structure of BaLa2As (PBEsol).

The structure in POSCAR format:
```
BaLa2As
1.0
4.033 0.000 0.000
0.000 4.033 0.000
0.000 0.000 8.361
Ba La As
1 2 1
direct
0.000 0.000 0.000
0.000 0.000 0.605
0.500 0.500 0.364
0.500 0.500 0.738
```

## Properties
ΔE_f	-566	meV per atom
ρ	5.985	g/cm3

19.
Entry from Alexandria via LeMat-Bulk: a relaxed structure of BaLa2As (PBEsol).

The structure in POSCAR format:
```
BaLa2As
1.0
2.072 1.196 10.395
-2.072 1.196 10.395
0.000 -2.392 10.395
Ba La As
1 2 1
direct
0.000 0.000 0.000
0.222 0.222 0.222
0.778 0.778 0.778
0.500 0.500 0.500
```

## Properties
ΔE_f	-626	meV per atom
ρ	5.266	g/cm3

20.
Entry from Alexandria via LeMat-Bulk: a relaxed structure of BaLiAs2 (PBEsol).

The structure in POSCAR format:
```
BaLiAs2
1.0
3.715 0.000 0.000
0.000 3.715 0.000
0.000 0.000 7.004
Ba Li As
1 1 2
direct
0.000 0.000 0.000
0.500 0.500 0.362
0.000 0.000 0.535
0.500 0.500 0.703
```

## Properties
energy above the lowest structure with this stoichiometry	0.365	eV per atom
ΔE_f	-273	meV per atom
ρ	5.053	g/cm3